Entry 1:
Computed, not measured: a relaxed structure of Nb2CuNi7 at the PBE level of DFT.

Cell lengths 7.4628, 14.6372, 2.5478 Å; angles 90.00, 90.00, 90.00 degrees
Space group Cmmm (No. 65)
Unique sites:
Nb  0.0000  0.1801  0.0000
Cu  0.0000  0.5000  0.5000
Ni  0.0000  0.0000  0.0000
Ni  0.0000  0.3300  0.5000
Ni  0.2281  0.4104  0.0000

Summary:
- E_form: 0.347 eV per atom

***

Entry 2:
Computed, not measured: a relaxed structure of Nb2CuNi3 at the PBE level of DFT.

Cell lengths 4.8579, 4.8579, 7.7901 Å; angles 90.00, 90.00, 120.00 degrees
Space group P6_3/mmc (No. 194)
Unique sites:
Nb  0.3333  0.6667  0.0555
Cu  0.0000  0.0000  0.0000
Ni  0.1702  0.3404  0.7500

Summary:
- E_form: -0.137 eV per atom

***

Entry 3:
Computed, not measured: a relaxed structure of NbCu4Ni at the PBE level of DFT.

Cell lengths 6.7516, 6.7516, 6.7516 Å; angles 90.00, 90.00, 90.00 degrees
Space group F-43m (No. 216)
Unique sites:
Nb  0.0000  0.0000  0.0000
Cu  0.1245  0.1245  0.3755
Ni  0.2500  0.2500  0.7500

Summary:
- E_form: 0.051 eV per atom